Entry 1:
# Li5Zn5Ag2, relaxed, DFT PBE-GGA
# * M_tot: 0.000 Bohr magnetons per cell
# * formation enthalpy at 0 K: -0.191 eV per atom
# * E_tot: -1.9945 eV per atom
data_Li5Zn5Ag2
_chemical_formula_sum 'Li10 Zn10 Ag4'
_cell_length_a 11.574
_cell_length_b 4.074
_cell_length_c 8.629
_cell_angle_alpha 90.00
_cell_angle_beta 116.29
_cell_angle_gamma 90.00
_symmetry_space_group_name_H-M 'C 1 2/m 1'
_symmetry_Int_Tables_number 12
loop_
_symmetry_equiv_pos_as_xyz
'x,y,z'
'-x,-y,-z'
'-x,y,-z'
'x,-y,z'
'x+1/2,y+1/2,z'
'-x+1/2,-y+1/2,-z'
'-x+1/2,y+1/2,-z'
'x+1/2,-y+1/2,z'
loop_
_atom_site_label
_atom_site_type_symbol
_atom_site_fract_x
_atom_site_fract_y
_atom_site_fract_z
_atom_site_occupancy
Li1 Li 0.000 0.000 0.000 1
Li2 Li 0.083 0.000 0.749 1
Li3 Li 0.167 0.000 0.499 1
Zn1 Zn 0.000 0.500 0.500 1
Zn2 Zn 0.175 0.500 0.003 1
Zn3 Zn 0.249 0.500 0.753 1
Ag1 Ag 0.082 0.500 0.243 1

***

Entry 2:
# PuTlAu2, relaxed, DFT PBE-GGA
# * M_tot: 5.870 Bohr magnetons per cell
# * formation enthalpy at 0 K: -0.202 eV per atom
# * E_tot: -6.0156 eV per atom
data_PuTlAu2
_chemical_formula_sum 'Pu1 Tl1 Au2'
_cell_length_a 4.916
_cell_length_b 4.916
_cell_length_c 3.959
_cell_angle_alpha 90.00
_cell_angle_beta 90.00
_cell_angle_gamma 90.00
_symmetry_space_group_name_H-M 'P 4/m m m'
_symmetry_Int_Tables_number 123
_symmetry_space_group_name_Hall '-P 4 2'
loop_
_atom_site_label
_atom_site_type_symbol
_atom_site_fract_x
_atom_site_fract_y
_atom_site_fract_z
_atom_site_occupancy
Pu1 Pu 0.000 0.000 0.000 1
Tl1 Tl 0.500 0.500 0.000 1
Au1 Au 0.000 0.500 0.500 1

***

Entry 3:
# SrCl, relaxed, DFT PBE-GGA
# * M_tot: 0.000 Bohr magnetons per cell
# * E_tot: -3.3832 eV per atom
data_SrCl
_chemical_formula_sum 'Sr6 Cl6'
_cell_length_a 11.7084
_cell_length_b 11.7084
_cell_length_c 4.7398
_cell_angle_alpha 90.00
_cell_angle_beta 90.00
_cell_angle_gamma 120.00
_symmetry_space_group_name_H-M 'P 63/m'
_symmetry_Int_Tables_number 176
_symmetry_space_group_name_Hall '-P 6c'
loop_
_atom_site_label
_atom_site_type_symbol
_atom_site_fract_x
_atom_site_fract_y
_atom_site_fract_z
_atom_site_occupancy
Sr1 Sr 0.1513 0.6859 0.2500 1
Cl1 Cl 0.0274 0.3795 0.2500 1

***

Entry 4:
# Ta4FeP, relaxed, DFT PBE-GGA
# * M_tot: 6.262 Bohr magnetons per cell
# * formation enthalpy at 0 K: 0.777 eV per atom
# * E_tot: -9.4371 eV per atom
# * excess energy over the best structure of this formula in the dataset: 1187.7 meV per atom
data_Ta4FeP
_chemical_formula_sum 'Ta16 Fe4 P4'
_cell_length_a 7.590
_cell_length_b 7.590
_cell_length_c 7.590
_cell_angle_alpha 90.00
_cell_angle_beta 90.00
_cell_angle_gamma 90.00
_symmetry_space_group_name_H-M 'F -4 3 m'
_symmetry_Int_Tables_number 216
_symmetry_space_group_name_Hall 'F -4 2 3'
loop_
_atom_site_label
_atom_site_type_symbol
_atom_site_fract_x
_atom_site_fract_y
_atom_site_fract_z
_atom_site_occupancy
Ta1 Ta 0.125 0.125 0.125 1
Fe1 Fe 0.250 0.250 0.750 1
P1 P 0.000 0.000 0.500 1

***

Entry 5:
# Be2Sn2Rh, relaxed, DFT PBE-GGA
# * M_tot: 0.000 Bohr magnetons per cell
# * formation enthalpy at 0 K: 0.419 eV per atom
# * E_tot: -4.1426 eV per atom
# * excess energy over the best structure of this formula in the dataset: 192.0 meV per atom
data_Be2Sn2Rh
_chemical_formula_sum 'Be4 Sn4 Rh2'
_cell_length_a 7.197
_cell_length_b 7.197
_cell_length_c 3.298
_cell_angle_alpha 90.00
_cell_angle_beta 90.00
_cell_angle_gamma 90.00
_symmetry_space_group_name_H-M 'P 4/m b m'
_symmetry_Int_Tables_number 127
_symmetry_space_group_name_Hall '-P 4 2ab'
loop_
_atom_site_label
_atom_site_type_symbol
_atom_site_fract_x
_atom_site_fract_y
_atom_site_fract_z
_atom_site_occupancy
Be1 Be 0.109 0.391 0.000 1
Sn1 Sn 0.182 0.682 0.500 1
Rh1 Rh 0.000 0.000 0.500 1

***

Entry 6:
# CeHoErTh, relaxed, DFT PBE-GGA
# * M_tot: 11.208 Bohr magnetons per cell
# * formation enthalpy at 0 K: 0.226 eV per atom
# * E_tot: -5.3973 eV per atom
# * excess energy over the best structure of this formula in the dataset: 202.7 meV per atom
data_CeHoErTh
_chemical_formula_sum 'Ce4 Ho4 Er4 Th4'
_cell_length_a 7.960
_cell_length_b 7.960
_cell_length_c 7.960
_cell_angle_alpha 90.00
_cell_angle_beta 90.00
_cell_angle_gamma 90.00
_symmetry_space_group_name_H-M 'F -4 3 m'
_symmetry_Int_Tables_number 216
_symmetry_space_group_name_Hall 'F -4 2 3'
loop_
_atom_site_label
_atom_site_type_symbol
_atom_site_fract_x
_atom_site_fract_y
_atom_site_fract_z
_atom_site_occupancy
Ce1 Ce 0.000 0.000 0.000 1
Ho1 Ho 0.000 0.000 0.500 1
Er1 Er 0.250 0.250 0.250 1
Th1 Th 0.250 0.250 0.750 1

***

Entry 7:
# MnMoRh2, relaxed, DFT PBE-GGA
# * M_tot: 12.004 Bohr magnetons per cell
# * formation enthalpy at 0 K: 0.985 eV per atom
# * E_tot: -7.6913 eV per atom
# * excess energy over the best structure of this formula in the dataset: 1145.1 meV per atom
data_MnMoRh2
_chemical_formula_sum 'Mn4 Mo4 Rh8'
_cell_length_a 5.496
_cell_length_b 5.496
_cell_length_c 11.036
_cell_angle_alpha 90.00
_cell_angle_beta 90.00
_cell_angle_gamma 90.00
_symmetry_space_group_name_H-M 'I -4 2 d'
_symmetry_Int_Tables_number 122
_symmetry_space_group_name_Hall 'I -4 2bw'
loop_
_atom_site_label
_atom_site_type_symbol
_atom_site_fract_x
_atom_site_fract_y
_atom_site_fract_z
_atom_site_occupancy
Mn1 Mn 0.000 0.000 0.000 1
Mo1 Mo 0.000 0.000 0.500 1
Rh1 Rh 0.242 0.250 0.125 1

***

Entry 8:
# Pr2ScAu2, relaxed, DFT PBE-GGA
# * M_tot: 0.000 Bohr magnetons per cell
# * formation enthalpy at 0 K: -0.507 eV per atom
# * E_tot: -4.9956 eV per atom
# * excess energy over the best structure of this formula in the dataset: 115.1 meV per atom
data_Pr2ScAu2
_chemical_formula_sum 'Pr8 Sc4 Au8'
_cell_length_a 7.756
_cell_length_b 11.735
_cell_length_c 6.324
_cell_angle_alpha 90.00
_cell_angle_beta 90.00
_cell_angle_gamma 90.00
_symmetry_space_group_name_H-M 'I b a m'
_symmetry_Int_Tables_number 72
_symmetry_space_group_name_Hall '-I 2 2c'
loop_
_atom_site_label
_atom_site_type_symbol
_atom_site_fract_x
_atom_site_fract_y
_atom_site_fract_z
_atom_site_occupancy
Pr1 Pr 0.146 0.155 0.000 1
Sc1 Sc 0.000 0.500 0.250 1
Au1 Au 0.239 0.101 0.500 1

***

Entry 9:
# CsSr2LiBi, relaxed, DFT PBE-GGA
# * M_tot: 0.000 Bohr magnetons per cell
# * formation enthalpy at 0 K: -0.102 eV per atom
# * E_tot: -2.1047 eV per atom
data_CsSr2LiBi
_chemical_formula_sum 'Cs1 Sr2 Li1 Bi1'
_cell_length_a 6.323
_cell_length_b 6.323
_cell_length_c 5.513
_cell_angle_alpha 90.00
_cell_angle_beta 90.00
_cell_angle_gamma 90.00
_symmetry_space_group_name_H-M 'P 4/m m m'
_symmetry_Int_Tables_number 123
_symmetry_space_group_name_Hall '-P 4 2'
loop_
_atom_site_label
_atom_site_type_symbol
_atom_site_fract_x
_atom_site_fract_y
_atom_site_fract_z
_atom_site_occupancy
Cs1 Cs 0.000 0.000 0.000 1
Sr1 Sr 0.000 0.500 0.500 1
Li1 Li 0.500 0.500 0.500 1
Bi1 Bi 0.500 0.500 0.000 1

***

Entry 10:
# HoTmSb, relaxed, DFT PBE-GGA
# * M_tot: 0.000 Bohr magnetons per cell
# * E_tot: -5.0428 eV per atom
data_HoTmSb
_chemical_formula_sum 'Ho4 Tm4 Sb4'
_cell_length_a 4.248
_cell_length_b 15.776
_cell_length_c 4.794
_cell_angle_alpha 90.00
_cell_angle_beta 90.00
_cell_angle_gamma 90.00
_symmetry_space_group_name_H-M 'C m c m'
_symmetry_Int_Tables_number 63
_symmetry_space_group_name_Hall '-C 2c 2'
loop_
_atom_site_label
_atom_site_type_symbol
_atom_site_fract_x
_atom_site_fract_y
_atom_site_fract_z
_atom_site_occupancy
Ho1 Ho 0.000 0.248 0.250 1
Tm1 Tm 0.000 0.425 0.750 1
Sb1 Sb 0.000 0.098 0.750 1

***

Entry 11:
# Tb2HoIn2, relaxed, DFT PBE-GGA
# * M_tot: 0.002 Bohr magnetons per cell
# * formation enthalpy at 0 K: -0.356 eV per atom
# * E_tot: -4.2192 eV per atom
# * excess energy over the best structure of this formula in the dataset: 24.5 meV per atom
data_Tb2HoIn2
_chemical_formula_sum 'Tb4 Ho2 In4'
_cell_length_a 4.902
_cell_length_b 6.852
_cell_length_c 8.582
_cell_angle_alpha 90.00
_cell_angle_beta 90.00
_cell_angle_gamma 90.00
_symmetry_space_group_name_H-M 'I m m m'
_symmetry_Int_Tables_number 71
_symmetry_space_group_name_Hall '-I 2 2'
loop_
_atom_site_label
_atom_site_type_symbol
_atom_site_fract_x
_atom_site_fract_y
_atom_site_fract_z
_atom_site_occupancy
Tb1 Tb 0.000 0.000 0.194 1
Ho1 Ho 0.000 0.500 0.000 1
In1 In 0.000 0.288 0.500 1

***

Entry 12:
# Tb3PrHo3, relaxed, DFT PBE-GGA
# * M_tot: 0.001 Bohr magnetons per cell
# * formation enthalpy at 0 K: 0.227 eV per atom
# * E_tot: -4.4025 eV per atom
# * excess energy over the best structure of this formula in the dataset: 0.0 meV per atom
data_Tb3PrHo3
_chemical_formula_sum 'Tb18 Pr6 Ho18'
_cell_length_a 8.6433
_cell_length_b 8.6433
_cell_length_c 21.8100
_cell_angle_alpha 90.00
_cell_angle_beta 90.00
_cell_angle_gamma 120.00
_symmetry_space_group_name_H-M 'R -3'
_symmetry_Int_Tables_number 148
_symmetry_space_group_name_Hall '-R 3'
loop_
_atom_site_label
_atom_site_type_symbol
_atom_site_fract_x
_atom_site_fract_y
_atom_site_fract_z
_atom_site_occupancy
Tb1 Tb 0.0044 0.2325 0.0597 1
Pr1 Pr 0.0000 0.0000 0.3509 1
Ho1 Ho 0.0583 0.2746 0.2125 1

***

Entry 13:
# Cr5C4, relaxed, DFT PBE-GGA
# * M_tot: 0.007 Bohr magnetons per cell
# * formation enthalpy at 0 K: 0.152 eV per atom
# * E_tot: -9.2942 eV per atom
# * excess energy over the best structure of this formula in the dataset: 0.0 meV per atom
data_Cr5C4
_chemical_formula_sum 'Cr10 C8'
_cell_length_a 5.8739
_cell_length_b 5.8739
_cell_length_c 5.1668
_cell_angle_alpha 90.00
_cell_angle_beta 90.00
_cell_angle_gamma 120.00
_symmetry_space_group_name_H-M 'P 63/m c m'
_symmetry_Int_Tables_number 193
_symmetry_space_group_name_Hall '-P 6c 2'
loop_
_atom_site_label
_atom_site_type_symbol
_atom_site_fract_x
_atom_site_fract_y
_atom_site_fract_z
_atom_site_occupancy
Cr1 Cr 0.0000 0.2489 0.2500 1
Cr2 Cr 0.3333 0.6667 0.0000 1
C1 C 0.0000 0.0000 0.0000 1
C2 C 0.0000 0.4101 0.7500 1

***

Entry 14:
# MnAlPd14, relaxed, DFT PBE-GGA
# * M_tot: 5.403 Bohr magnetons per cell
# * formation enthalpy at 0 K: -0.209 eV per atom
# * E_tot: -5.5595 eV per atom
data_MnAlPd14
_chemical_formula_sum 'Mn1 Al1 Pd14'
_cell_length_a 5.586
_cell_length_b 5.586
_cell_length_c 7.791
_cell_angle_alpha 90.00
_cell_angle_beta 90.00
_cell_angle_gamma 90.00
_symmetry_space_group_name_H-M 'P 4/m m m'
_symmetry_Int_Tables_number 123
_symmetry_space_group_name_Hall '-P 4 2'
loop_
_atom_site_label
_atom_site_type_symbol
_atom_site_fract_x
_atom_site_fract_y
_atom_site_fract_z
_atom_site_occupancy
Mn1 Mn 0.000 0.000 0.000 1
Al1 Al 0.500 0.500 0.000 1
Pd1 Pd 0.000 0.000 0.500 1
Pd2 Pd 0.000 0.500 0.000 1
Pd3 Pd 0.000 0.500 0.500 1
Pd4 Pd 0.251 0.251 0.243 1
Pd5 Pd 0.500 0.500 0.500 1

***

Entry 15:
# K2Cu2Br7, relaxed, DFT PBE-GGA
# * M_tot: 0.000 Bohr magnetons per cell
# * E_tot: -2.7510 eV per atom
data_K2Cu2Br7
_chemical_formula_sum 'K4 Cu4 Br14'
_cell_length_a 11.738
_cell_length_b 12.873
_cell_length_c 6.026
_cell_angle_alpha 90.00
_cell_angle_beta 103.17
_cell_angle_gamma 90.00
_symmetry_space_group_name_H-M 'C 1 2/m 1'
_symmetry_Int_Tables_number 12
loop_
_symmetry_equiv_pos_as_xyz
'x,y,z'
'-x,-y,-z'
'-x,y,-z'
'x,-y,z'
'x+1/2,y+1/2,z'
'-x+1/2,-y+1/2,-z'
'-x+1/2,y+1/2,-z'
'x+1/2,-y+1/2,z'
loop_
_atom_site_label
_atom_site_type_symbol
_atom_site_fract_x
_atom_site_fract_y
_atom_site_fract_z
_atom_site_occupancy
K1 K 0.000 0.210 0.000 1
Cu1 Cu 0.209 0.500 0.685 1
Br1 Br 0.000 0.500 0.500 1
Br2 Br 0.093 0.000 0.375 1
Br3 Br 0.212 0.324 0.773 1

***

Entry 16:
# RbTlCdIn, relaxed, DFT PBE-GGA
# * M_tot: 0.000 Bohr magnetons per cell
# * formation enthalpy at 0 K: 0.038 eV per atom
# * E_tot: -1.7085 eV per atom
# * excess energy over the best structure of this formula in the dataset: 94.0 meV per atom
data_RbTlCdIn
_chemical_formula_sum 'Rb4 Tl4 Cd4 In4'
_cell_length_a 8.002
_cell_length_b 8.002
_cell_length_c 8.002
_cell_angle_alpha 90.00
_cell_angle_beta 90.00
_cell_angle_gamma 90.00
_symmetry_space_group_name_H-M 'F -4 3 m'
_symmetry_Int_Tables_number 216
_symmetry_space_group_name_Hall 'F -4 2 3'
loop_
_atom_site_label
_atom_site_type_symbol
_atom_site_fract_x
_atom_site_fract_y
_atom_site_fract_z
_atom_site_occupancy
Rb1 Rb 0.000 0.000 0.000 1
Tl1 Tl 0.250 0.250 0.250 1
Cd1 Cd 0.250 0.250 0.750 1
In1 In 0.000 0.000 0.500 1

***

Entry 17:
# Y2LuPb, relaxed, DFT PBE-GGA
# * M_tot: 0.000 Bohr magnetons per cell
# * formation enthalpy at 0 K: -0.218 eV per atom
# * E_tot: -5.5070 eV per atom
# * excess energy over the best structure of this formula in the dataset: 42.2 meV per atom
data_Y2LuPb
_chemical_formula_sum 'Y2 Lu1 Pb1'
_cell_length_a 3.635
_cell_length_b 3.635
_cell_length_c 9.093
_cell_angle_alpha 90.00
_cell_angle_beta 90.00
_cell_angle_gamma 90.00
_symmetry_space_group_name_H-M 'P 4/m m m'
_symmetry_Int_Tables_number 123
_symmetry_space_group_name_Hall '-P 4 2'
loop_
_atom_site_label
_atom_site_type_symbol
_atom_site_fract_x
_atom_site_fract_y
_atom_site_fract_z
_atom_site_occupancy
Y1 Y 0.000 0.000 0.238 1
Lu1 Lu 0.500 0.500 0.500 1
Pb1 Pb 0.500 0.500 0.000 1

***

Entry 18:
# Te2RuC, relaxed, DFT PBE-GGA
# * M_tot: 0.002 Bohr magnetons per cell
# * E_tot: -5.1453 eV per atom
data_Te2RuC
_chemical_formula_sum 'Te6 Ru3 C3'
_cell_length_a 4.0546
_cell_length_b 4.0546
_cell_length_c 19.7088
_cell_angle_alpha 90.00
_cell_angle_beta 90.00
_cell_angle_gamma 120.00
_symmetry_space_group_name_H-M 'R -3 m'
_symmetry_Int_Tables_number 166
_symmetry_space_group_name_Hall '-R 3 2"'
loop_
_atom_site_label
_atom_site_type_symbol
_atom_site_fract_x
_atom_site_fract_y
_atom_site_fract_z
_atom_site_occupancy
Te1 Te 0.0000 0.0000 0.0997 1
Ru1 Ru 0.0000 0.0000 0.5000 1
C1 C 0.0000 0.0000 0.0000 1

***

Entry 19:
# Nd2Ho2Bi5, relaxed, DFT PBE-GGA
# * M_tot: 0.000 Bohr magnetons per cell
# * formation enthalpy at 0 K: -0.669 eV per atom
# * E_tot: -4.9016 eV per atom
data_Nd2Ho2Bi5
_chemical_formula_sum 'Nd8 Ho8 Bi20'
_cell_length_a 16.257
_cell_length_b 8.318
_cell_length_c 8.504
_cell_angle_alpha 90.00
_cell_angle_beta 90.00
_cell_angle_gamma 90.00
_symmetry_space_group_name_H-M 'C m c e'
_symmetry_Int_Tables_number 64
_symmetry_space_group_name_Hall '-C 2ac 2'
loop_
_atom_site_label
_atom_site_type_symbol
_atom_site_fract_x
_atom_site_fract_y
_atom_site_fract_z
_atom_site_occupancy
Nd1 Nd 0.193 0.000 0.000 1
Ho1 Ho 0.000 0.154 0.342 1
Bi1 Bi 0.000 0.000 0.000 1
Bi2 Bi 0.137 0.150 0.650 1